(1)
DFT (PBEsol) results for an optimized crystal structure of KCrRe2.

a = 2.6377 Å, b = 3.6794 Å, c = 8.1825 Å
α = 90.00°, β = 90.00°, γ = 90.00°
With the nearest neighbours (Å) after each atom.
Fractional positions:
K 0.0000 0.0000 0.0000  2 K 2.64
Cr 0.0000 0.0000 0.5000  8 Re 2.57, 2 Cr 2.64
Re 0.5000 0.5000 0.3512  3 Re 2.44-2.64, 4 Cr 2.57
Re 0.5000 0.5000 0.6488  3 Re 2.44-2.64, 4 Cr 2.57

Computed properties:
**Spin magnetization**: 0.01 μB/atom
**Energy of formation**: 0.9880 eV per atom
**Polymorph energy (0 for the lowest one)**: 178 meV per atom
**VASP energy**: -8.5218 eV per atom

(2)
DFT (PBEsol) results for an optimized crystal structure of KCr2Re.

a = 3.0037 Å, b = 4.3783 Å, c = 9.8577 Å
α = 90.00°, β = 90.00°, γ = 90.00°
With the nearest neighbours (Å) after each atom.
Fractional positions:
K 0.0000 0.0000 0.0000  4 K 2.65
K 0.5000 0.5000 0.0000  4 K 2.65
Cr 0.0000 0.5000 0.3007  2 Re 2.47, 4 Cr 2.65
Cr 0.0000 0.5000 0.6993  2 Re 2.47, 4 Cr 2.65
Cr 0.5000 0.0000 0.3007  2 Re 2.47, 4 Cr 2.65
Cr 0.5000 0.0000 0.6993  2 Re 2.47, 4 Cr 2.65
Re 0.0000 0.0000 0.5000  4 Cr 2.47, 4 Re 2.65
Re 0.5000 0.5000 0.5000  4 Cr 2.47, 4 Re 2.65

Computed properties:
**Spin magnetization**: 0.00 μB/atom
**Energy of formation**: 0.9730 eV per atom
**VASP energy**: -7.7643 eV per atom

(3)
DFT (PBEsol) results for an optimized crystal structure of KCrRe2.

a = 9.1236 Å, b = 2.8885 Å, c = 6.6850 Å
α = 90.00°, β = 96.90°, γ = 90.00°
With the nearest neighbours (Å) after each atom.
Fractional positions:
K 0.0000 0.0000 0.0000  2 K 2.89
K 0.5000 0.5000 0.0000  2 K 2.89
Cr 0.2837 0.5000 0.3820  4 Re 2.28-2.44
Cr 0.7837 0.0000 0.3820  4 Re 2.28-2.44
Re 0.2206 0.0000 0.6211  2 Cr 2.28
Re 0.4930 0.0000 0.4948  2 Cr 2.44, 3 Re 2.59-2.72
Re 0.7206 0.5000 0.6211  2 Cr 2.28
Re 0.9930 0.5000 0.4948  2 Cr 2.44, 3 Re 2.59-2.72

Computed properties:
**Spin magnetization**: 0.06 μB/atom
**Energy of formation**: 1.0851 eV per atom
**Polymorph energy (0 for the lowest one)**: 275 meV per atom
**VASP energy**: -8.4247 eV per atom

(4)
DFT (PBEsol) results for an optimized crystal structure of K3CrRh.

a = 5.8364 Å, b = 5.8364 Å, c = 5.8364 Å
α = 90.00°, β = 90.00°, γ = 90.00°
With the nearest neighbours (Å) after each atom.
Fractional positions:
K 0.0000 0.0000 0.5000  2 Rh 2.92
K 0.0000 0.5000 0.0000  2 Rh 2.92
K 0.5000 0.0000 0.0000  2 Rh 2.92
Cr 0.5000 0.5000 0.5000  12 K 4.13
Rh 0.0000 0.0000 0.0000  6 K 2.92

Computed properties:
**Spin magnetization**: 1.18 μB/atom
**Energy of formation**: 1.2375 eV per atom
**VASP energy**: -3.1186 eV per atom

(5)
DFT (PBEsol) results for an optimized crystal structure of K2CrRh.

a = 4.4363 Å, b = 4.4363 Å, c = 5.3429 Å
α = 90.00°, β = 90.00°, γ = 90.00°
With the nearest neighbours (Å) after each atom.
Fractional positions:
K 0.0000 0.0000 0.2449  2 K 2.62-2.73
K 0.0000 0.0000 0.7551  2 K 2.62-2.73
Cr 0.5000 0.5000 0.5000  2 Rh 2.67
Rh 0.5000 0.5000 0.0000  2 Cr 2.67

Computed properties:
**Spin magnetization**: 1.10 μB/atom
**Energy of formation**: 1.2675 eV per atom
**Polymorph energy (0 for the lowest one)**: 144 meV per atom
**VASP energy**: -3.8943 eV per atom

(6)
DFT (PBEsol) results for an optimized crystal structure of KCrRh.

a = 3.1792 Å, b = 3.1792 Å, c = 12.8172 Å
α = 90.00°, β = 90.00°, γ = 90.00°
With the nearest neighbours (Å) after each atom.
Fractional positions:
K 0.0000 0.0000 0.0000  4 K 3.18, 4 Rh 3.43, 1 Cr 3.54
K 0.5000 0.5000 0.5000  4 K 3.18, 4 Rh 3.43, 1 Cr 3.54
Cr 0.0000 0.0000 0.2766  4 Rh 2.44
Cr 0.5000 0.5000 0.7766  4 Rh 2.44
Rh 0.0000 0.0000 0.7017  4 Cr 2.44
Rh 0.5000 0.5000 0.2017  4 Cr 2.44

Computed properties:
**Spin magnetization**: 1.17 μB/atom
**Energy of formation**: 0.6878 eV per atom
**VASP energy**: -5.8168 eV per atom

(7)
DFT (PBEsol) results for an optimized crystal structure of K2CrRh.

a = 7.1743 Å, b = 7.1743 Å, c = 7.1743 Å
α = 90.00°, β = 90.00°, γ = 90.00°
With the nearest neighbours (Å) after each atom.
Fractional positions:
K 0.0000 0.0000 0.0000  4 K 3.11, 4 Rh 3.11
K 0.0000 0.5000 0.5000  4 K 3.11, 4 Rh 3.11
K 0.2500 0.2500 0.2500  4 Cr 3.11, 4 K 3.11
K 0.2500 0.7500 0.7500  4 Cr 3.11, 4 K 3.11
K 0.5000 0.0000 0.5000  4 K 3.11, 4 Rh 3.11
K 0.5000 0.5000 0.0000  4 K 3.11, 4 Rh 3.11
K 0.7500 0.2500 0.7500  4 Cr 3.11, 4 K 3.11
K 0.7500 0.7500 0.2500  4 Cr 3.11, 4 K 3.11
Cr 0.0000 0.0000 0.5000  4 Rh 3.11, 4 K 3.11
Cr 0.0000 0.5000 0.0000  4 Rh 3.11, 4 K 3.11
Cr 0.5000 0.0000 0.0000  4 Rh 3.11, 4 K 3.11
Cr 0.5000 0.5000 0.5000  4 Rh 3.11, 4 K 3.11
Rh 0.2500 0.2500 0.7500  4 Cr 3.11, 4 K 3.11
Rh 0.2500 0.7500 0.2500  4 Cr 3.11, 4 K 3.11
Rh 0.7500 0.2500 0.2500  4 Cr 3.11, 4 K 3.11
Rh 0.7500 0.7500 0.7500  4 Cr 3.11, 4 K 3.11

Computed properties:
**Spin magnetization**: 1.20 μB/atom
**Energy of formation**: 1.1237 eV per atom
**Polymorph energy (0 for the lowest one)**: 0 meV per atom
**VASP energy**: -4.0380 eV per atom

(8)
DFT (PBEsol) results for an optimized crystal structure of KCrRh2.

a = 4.1394 Å, b = 4.1394 Å, c = 7.7170 Å
α = 90.00°, β = 90.00°, γ = 90.00°
With the nearest neighbours (Å) after each atom.
Fractional positions:
K 0.0000 0.0000 0.0000  4 Cr 2.83, 8 Rh 2.83-2.93
K 0.5000 0.5000 0.5000  4 Cr 2.83, 8 Rh 2.83-2.93
Cr 0.0000 0.5000 0.2500  4 K 2.83, 8 Rh 2.83-2.93
Cr 0.5000 0.0000 0.7500  4 K 2.83, 8 Rh 2.83-2.93
Rh 0.0000 0.0000 0.5000  4 Cr 2.83, 4 Rh 2.83, 4 K 2.93
Rh 0.0000 0.5000 0.7500  4 K 2.83, 4 Rh 2.83, 4 Cr 2.93
Rh 0.5000 0.0000 0.2500  4 K 2.83, 4 Rh 2.83, 4 Cr 2.93
Rh 0.5000 0.5000 0.0000  4 Cr 2.83, 4 Rh 2.83, 4 K 2.93

Computed properties:
**Spin magnetization**: 0.76 μB/atom
**Energy of formation**: 1.1240 eV per atom
**VASP energy**: -5.7890 eV per atom